[1]
Density functional theory data (meta-GGA SCAN) for a crystal of YWF3 relaxed with PBEsol.

Structure (POSCAR):
```
YWF3
1.0
-1.3900 0.4835 -4.1822
3.9627 -1.3372 -1.4716
-1.4218 -4.1994 -0.0129
Y W F
1 1 3
Direct
0.0000 0.0000 0.0000
0.5000 0.5000 0.5000
0.0000 0.5000 0.0000
0.0000 0.0000 0.5000
0.5000 0.0000 0.0000
```

Results
theoretical density: 6.3 Mg/m³
calculated total energy: -23.362 eV per atom
ΔE_f (raw): -836 kJ/mol of formula units


[2]
Density functional theory data (meta-GGA SCAN) for a crystal of BiBCl2 relaxed with PBEsol.

Structure (POSCAR):
```
BiBCl2
1.0
3.3019 0.0000 0.0000
1.6510 2.8596 0.0000
1.6510 0.9532 9.8171
B Bi Cl
1 1 2
Direct
0.0000 0.0000 0.0000
0.5000 0.5000 0.5000
0.9435 0.9435 0.1696
0.0565 0.0565 0.8304
```

Results
ΔE to the lowest computed polymorph: 0 meV/atom
theoretical density: 5.2 Mg/m³
calculated total energy: -25.298 eV per atom
ΔE_f (raw): 75 kJ/mol of formula units


[3]
Density functional theory data (meta-GGA SCAN) for a crystal of CsMg3Zn relaxed with PBEsol.

Structure (POSCAR):
```
CsMg3Zn
1.0
7.2072 0.0000 0.0000
0.0000 7.2072 0.0000
0.0000 0.0000 7.2072
Cs Zn Mg
1 1 3
Direct
0.0000 0.0000 0.0000
0.5000 0.5000 0.5000
0.0000 0.5000 0.0000
0.0000 0.0000 0.5000
0.5000 0.0000 0.0000
```

Results
ΔH_f (0 K): 1.225 eV per atom
theoretical density: 1.2 Mg/m³
calculated total energy: -12.024 eV per atom


[4]
Density functional theory data (meta-GGA SCAN) for a crystal of K2AlRe relaxed with PBEsol.

Structure (POSCAR):
```
K2AlRe
1.0
-0.1189 2.7881 0.0401
-3.6128 -1.5162 -2.4128
-5.0808 -0.3386 8.4850
Re K Al
1 2 1
Direct
0.4908 0.9815 0.4101
0.0087 0.0174 0.0922
0.2432 0.4864 0.6595
0.7574 0.5147 0.3383
```

Results
ΔH_f (0 K): 0.720 eV per atom
theoretical density: 4.0 Mg/m³
calculated total energy: -23.156 eV per atom